No. 1
PmBeTe | PBE | relaxed

a b c (Å): 5.9415 3.9189 6.6458
angles (deg): 89.94 92.53 70.76
Last column: nearest neighbours and their distance in Å.
Fractional coordinates of all 6 atoms:
Te (0.2332, 0.6341, 0.6928)  2 Be 2.46
Te (0.7668, 0.3659, 0.3072)  2 Be 2.46
Pm (0.2067, 0.6467, 0.1858)  5 Be 2.91-3.19, 1 Te 3.21
Pm (0.7933, 0.3533, 0.8142)  5 Be 2.91-3.19, 1 Te 3.21
Be (0.6415, 0.9288, 0.1056)  1 Be 2.07
Be (0.3585, 0.0712, 0.8944)  1 Be 2.07

Calculated values
Formation energy without anion corrections (meV/atom): -645
Crystal system: triclinic
ρ (kg/m3): 6408
Symmetry: No. 2

***

No. 2
BaNiP2 | PBE | relaxed

a b c (Å): 4.9433 4.9433 8.2084
angles (deg): 72.48 72.48 90.00
Last column: nearest neighbours and their distance in Å.
Fractional coordinates of all 8 atoms:
Ni (0.5000, 0.5000, 0.0000)  4 P 2.23
Ni (0.2500, 0.7500, 0.5000)  4 P 2.23
Ba (0.0000, 0.0000, 0.0000)  8 P 3.33, 4 Ni 3.50
Ba (0.7500, 0.2500, 0.5000)  8 P 3.33, 4 Ni 3.50
P (0.3752, 0.1250, 0.2500)  2 Ni 2.23, 2 P 2.47
P (0.3748, 0.6250, 0.2500)  2 Ni 2.23, 2 P 2.47
P (0.3750, 0.6248, 0.7500)  2 Ni 2.23, 2 P 2.47
P (0.8750, 0.6252, 0.7500)  2 Ni 2.23, 2 P 2.47

Calculated values
Crystal system: tetragonal
Energy of formation from the pure elements (eV/atom): -0.6345
ρ (kg/m3): 4721
Symmetry: No. 141

***

No. 3
Pr2Zn2I | PBE | relaxed

a b c (Å): 4.4194 4.4194 8.5813
angles (deg): 90.00 104.93 119.96
Last column: nearest neighbours and their distance in Å.
Fractional coordinates of all 5 atoms:
Pr (0.8471, 0.4236, 0.2707)  6 Zn 3.12-3.22, 3 I 3.38
Pr (0.1529, 0.5764, 0.7293)  6 Zn 3.12-3.22, 3 I 3.38
Zn (0.3407, 0.1703, 0.5110)  3 Zn 2.56
Zn (0.6593, 0.8297, 0.4890)  3 Zn 2.56
I (0.0000, 0.0000, 0.0000)  6 Pr 3.38

Calculated values
Formation energy without anion corrections (meV/atom): -622
Crystal system: trigonal
ρ (kg/m3): 6463
Symmetry: No. 166

***

No. 4
BaSr3Pd | PBE | relaxed

a b c (Å): 25.4700 9.8325 9.8325
angles (deg): 153.11 152.63 27.37
Last column: nearest neighbours and their distance in Å.
Fractional coordinates of all 10 atoms:
Sr (0.6394, 0.4151, 0.5849)  2 Pd 3.14
Sr (0.3606, 0.5849, 0.4151)  2 Pd 3.14
Sr (0.3393, 0.9494, 0.0506)  1 Pd 3.42
Sr (0.6607, 0.0506, 0.9494)  1 Pd 3.42
Sr (0.7118, 0.6639, 0.3361)  1 Pd 3.65, 2 Sr 3.94
Sr (0.2882, 0.3361, 0.6639)  1 Pd 3.65, 2 Sr 3.94
Ba (0.0161, 0.8789, 0.1211)  4 Pd 3.38-3.44
Ba (0.9839, 0.1211, 0.8789)  4 Pd 3.38-3.44
Pd (0.8453, 0.6783, 0.3217)  3 Sr 3.14-3.42, 1 Pd 3.24, 4 Ba 3.38-3.44
Pd (0.1547, 0.3217, 0.6783)  3 Sr 3.14-3.42, 1 Pd 3.24, 4 Ba 3.38-3.44

Calculated values
Energy above the most stable polymorph in this dataset (meV per atom): 70
Crystal system: monoclinic
Energy of formation from the pure elements (eV/atom): -0.2283
ρ (kg/m3): 3705
Symmetry: No. 12

***

No. 5
Tl2RhC | PBE | relaxed

a b c (Å): 4.6803 4.6803 4.6803
angles (deg): 60.00 60.00 60.00
Last column: nearest neighbours and their distance in Å.
Fractional coordinates of all 4 atoms:
Tl (0.2500, 0.2500, 0.2500)  4 Rh 2.87, 4 C 2.87
Tl (0.7500, 0.7500, 0.7500)  4 Rh 2.87, 4 C 2.87
Rh (0.5000, 0.5000, 0.5000)  8 Tl 2.87
C (0.0000, 0.0000, 0.0000)  8 Tl 2.87

Calculated values
Energy above the most stable polymorph in this dataset (meV per atom): 148
Crystal system: cubic
Energy of formation from the pure elements (eV/atom): 1.4610
ρ (kg/m3): 11996
Symmetry: No. 225

***

No. 6
PmDyThPa | PBE | relaxed

a b c (Å): 5.5645 5.5645 5.5645
angles (deg): 60.00 60.00 60.00
Last column: nearest neighbours and their distance in Å.
Fractional coordinates of all 4 atoms:
Pa (0.5000, 0.5000, 0.5000)  4 Th 3.41, 4 Pm 3.41
Pm (0.2500, 0.2500, 0.2500)  4 Dy 3.41, 4 Pa 3.41
Th (0.7500, 0.7500, 0.7500)  4 Pa 3.41, 4 Dy 3.41
Dy (0.0000, 0.0000, 0.0000)  4 Pm 3.41, 4 Th 3.41

Calculated values
Crystal system: cubic
Energy of formation from the pure elements (eV/atom): 0.3645
ρ (kg/m3): 10503
Symmetry: No. 216

***

No. 7
BaVZn | PBE | relaxed

a b c (Å): 4.3160 6.5006 7.1739
angles (deg): 112.73 94.89 109.08
Last column: nearest neighbours and their distance in Å.
Fractional coordinates of all 6 atoms:
Zn (0.1272, 0.2167, 0.1818)  3 V 2.57-2.86, 1 Zn 2.79
Zn (0.8728, 0.7833, 0.8182)  3 V 2.57-2.86, 1 Zn 2.79
Ba (0.4514, 0.8162, 0.2139)  5 Zn 3.31-3.59, 2 V 3.70
Ba (0.5486, 0.1838, 0.7861)  5 Zn 3.31-3.59, 2 V 3.70
V (0.7906, 0.4857, 0.4376)  1 V 1.87
V (0.2094, 0.5143, 0.5624)  1 V 1.87

Calculated values
Energy above the most stable polymorph in this dataset (meV per atom): 10
Crystal system: triclinic
Energy of formation from the pure elements (eV/atom): 0.2968
ρ (kg/m3): 4950
Symmetry: No. 2

***

No. 8
MgBeSn | PBE | relaxed

a b c (Å): 3.8770 5.1336 5.9542
angles (deg): 85.43 89.85 89.96
Last column: nearest neighbours and their distance in Å.
Fractional coordinates of all 6 atoms:
Be (0.2502, 0.6115, 0.9657)  2 Be 2.27, 1 Sn 2.48
Be (0.7497, 0.3885, 0.0343)  2 Be 2.27, 1 Sn 2.48
Mg (0.2514, 0.1362, 0.8031)  4 Be 2.70-2.79, 1 Sn 2.97
Mg (0.7486, 0.8638, 0.1969)  4 Be 2.70-2.79, 1 Sn 2.97
Sn (0.2484, 0.3154, 0.3161)  3 Be 2.48-2.57
Sn (0.7516, 0.6846, 0.6839)  3 Be 2.48-2.57

Calculated values
Crystal system: triclinic
Energy of formation from the pure elements (eV/atom): 0.0995
ρ (kg/m3): 4274
Symmetry: No. 2

***

No. 9
AgAsOs2 | PBE | relaxed

a b c (Å): 4.3928 4.3928 3.1392
angles (deg): 90.00 90.00 90.01
Last column: nearest neighbours and their distance in Å.
Fractional coordinates of all 4 atoms:
As (0.0000, 0.5000, 0.5000)  8 Os 2.70
Os (0.0000, 0.0000, 0.0000)  4 Ag 2.70, 4 As 2.70
Os (0.5000, 0.5000, 0.0000)  4 As 2.70, 4 Ag 2.70
Ag (0.5000, 0.0000, 0.5000)  8 Os 2.70

Calculated values
Crystal system: tetragonal
Energy of formation from the pure elements (eV/atom): 0.8485
ρ (kg/m3): 15440
Symmetry: No. 123

***

No. 10
TiPbAu2 | PBE | relaxed

a b c (Å): 7.7297 7.7297 6.1932
angles (deg): 51.39 51.39 90.00
Last column: nearest neighbours and their distance in Å.
Fractional coordinates of all 8 atoms:
Pb (0.0000, 0.0000, 0.0000)  2 Ti 2.91, 4 Au 2.99
Pb (0.7500, 0.2500, 0.5000)  2 Ti 2.91, 4 Au 2.99
Au (0.5952, 0.1250, 0.2500)  2 Ti 2.68, 2 Au 2.95, 2 Pb 2.99
Au (0.1548, 0.6250, 0.2500)  2 Ti 2.68, 2 Au 2.95, 2 Pb 2.99
Au (0.3750, 0.4048, 0.7500)  2 Ti 2.68, 2 Au 2.95, 2 Pb 2.99
Au (0.8750, 0.8452, 0.7500)  2 Ti 2.68, 2 Au 2.95, 2 Pb 2.99
Ti (0.5000, 0.5000, 0.0000)  4 Au 2.68, 2 Pb 2.91
Ti (0.2500, 0.7500, 0.5000)  4 Au 2.68, 2 Pb 2.91

Calculated values
Crystal system: tetragonal
Energy of formation from the pure elements (eV/atom): 0.0349
ρ (kg/m3): 12387
Symmetry: No. 122

***

Total moment: 0.00, 0.00, 0.00, 0.00, 0.00, 0.38, 0.00, 0.00, 0.00, 0.00 (Bohr magnetons per cell)